No. 1
A relaxed CdIn2SnAu2 crystal. Source: Alexandria, functional PBEsol.

Output
Electronic total energy in eV/atom: -3.43
Formation energy from the elements in eV/atom: -0.215

Cell lengths 4.5813, 4.5813, 22.8246 Å; angles 90.00, 90.00, 120.00 degrees
Space group R3m (No. 160, hexagonal axes)
Unique sites:
1 Cd 0.0000 0.0000 0.0000 (multiplicity 3)
2 In 0.0000 0.0000 0.2524 (multiplicity 3)
3 In 0.0000 0.0000 0.7434 (multiplicity 3)
4 Sn 0.0000 0.0000 0.4992 (multiplicity 3)
5 Au 0.0000 0.0000 0.1251 (multiplicity 3)
6 Au 0.0000 0.0000 0.6217 (multiplicity 3)

***

No. 2
A relaxed La2YRu crystal. Source: Alexandria, functional PBEsol.

Output
Electronic total energy in eV/atom: -6.92
Formation energy from the elements in eV/atom: 0.005

Cell lengths 3.8396, 3.8396, 28.2271 Å; angles 90.00, 90.00, 120.00 degrees
Space group R3m (No. 160, hexagonal axes)
Unique sites:
1 La 0.0000 0.0000 0.0000 (multiplicity 3)
2 La 0.0000 0.0000 0.2197 (multiplicity 3)
3 Y 0.0000 0.0000 0.7740 (multiplicity 3)
4 Ru 0.0000 0.0000 0.4986 (multiplicity 3)

***

No. 3
A relaxed LaTc2Se crystal. Source: Alexandria, functional PBEsol.

Output
Electronic total energy in eV/atom: -8.07
ΔE_f (raw) in eV per atom: -0.14

Cell lengths 3.7125, 3.9187, 5.6496 Å; angles 90.00, 95.92, 90.00 degrees
Space group Pm (No. 6)
Unique sites:
1 La 0.0000 0.0000 0.0000 (multiplicity 1)
2 Tc 0.0605 0.5000 0.5585 (multiplicity 1)
3 Tc 0.4317 0.0000 0.5516 (multiplicity 1)
4 Se 0.5350 0.5000 0.2525 (multiplicity 1)

***

No. 4
A relaxed Ba2AlW crystal. Source: Alexandria, functional PBEsol.

Output
Electronic total energy in eV/atom: -4.42
Formation energy from the elements in eV/atom: 1.125

Cell lengths 7.9526, 8.0086, 3.8318 Å; angles 90.00, 90.00, 90.00 degrees
Space group Cmmm (No. 65)
Unique sites:
1 Ba 0.2500 0.2500 0.0000 (multiplicity 4)
2 Al 0.0000 0.0000 0.5000 (multiplicity 2)
3 W 0.0000 0.5000 0.5000 (multiplicity 2)

***

No. 5
A relaxed GeBAu2Br crystal. Source: Alexandria, functional PBEsol.

Output
Electronic total energy in eV/atom: -2.73
ΔE_f (raw) in eV per atom: 1.60

Cell lengths 5.1005, 5.1005, 3.9982 Å; angles 90.00, 90.00, 90.00 degrees
Space group P4/mmm (No. 123)
Unique sites:
1 Ge 0.0000 0.0000 0.0000 (multiplicity 1)
2 B 0.5000 0.5000 0.0000 (multiplicity 1)
3 Au 0.0000 0.5000 0.5000 (multiplicity 2)
4 Br 0.5000 0.5000 0.5000 (multiplicity 1)

***

No. 6
A relaxed Be3P2 crystal. Source: Alexandria, functional PBEsol.

Output
Electronic total energy in eV/atom: -4.45
Formation energy from the elements in eV/atom: 0.266

Cell lengths 8.5732, 21.1659, 2.4925 Å; angles 90.00, 90.00, 90.00 degrees
Space group Fdd2 (No. 43)
Unique sites:
1 Be 0.0000 0.0000 0.0000 (multiplicity 8)
2 Be 0.0688 0.0956 0.5418 (multiplicity 16)
3 P 0.0650 0.1853 0.0490 (multiplicity 16)

***

No. 7
A relaxed ScAg2W crystal. Source: Alexandria, functional PBEsol.

Output
Electronic total energy in eV/atom: -6.47
Formation energy from the elements in eV/atom: 0.285

Cell lengths 2.8821, 2.8821, 28.6787 Å; angles 90.00, 90.00, 120.00 degrees
Space group R3m (No. 160, hexagonal axes)
Unique sites:
1 Sc 0.0000 0.0000 0.0000 (multiplicity 3)
2 Ag 0.0000 0.0000 0.2477 (multiplicity 3)
3 Ag 0.0000 0.0000 0.4987 (multiplicity 3)
4 W 0.0000 0.0000 0.7497 (multiplicity 3)

***

No. 8
A relaxed Nd2Al9Ir3 crystal. Source: Alexandria, functional PBEsol.

Output
Electronic total energy in eV/atom: -6.32
Formation energy from the elements in eV/atom: -0.846

Cell lengths 13.0303, 7.6147, 9.5134 Å; angles 90.00, 90.00, 90.00 degrees
Space group Cmcm (No. 63)
Unique sites:
1 Nd 0.1618 0.1671 0.2500 (multiplicity 8)
2 Al 0.0000 0.1301 0.7500 (multiplicity 4)
3 Al 0.0000 0.3336 0.0470 (multiplicity 8)
4 Al 0.1041 0.4439 0.7500 (multiplicity 8)
5 Al 0.1668 0.1686 0.5732 (multiplicity 16)
6 Ir 0.0000 0.0000 0.0000 (multiplicity 4)
7 Ir 0.1711 0.5000 0.0000 (multiplicity 8)